No. 1
Material: MgPt2Cl
Method: DFT, GGA-PBE
State: optimized geometry

Computed properties:
**N(E_F)**: 5.7 states/eV/f.u.
**Energy**: -3.920 eV/atom
**Volume**: 17.18 Å³ per atom

abc: 4.592 4.592 4.592
angles: 119.77 119.77 90.40
Fractional positions:
Mg  0.750  0.250  0.500
Pt  0.000  0.000  0.000
Pt  0.250  0.750  0.500
Cl  0.500  0.500  0.000



No. 2
Material: MgPtCl
Method: DFT, GGA-PBE
State: optimized geometry

Computed properties:
**N(E_F)**: 0.6 states/eV/f.u.
**Energy**: -3.372 eV/atom
**Volume**: 20.60 Å³ per atom

abc: 4.438 4.438 4.438
angles: 60.00 60.00 60.00
Fractional positions:
Cl  0.000  0.000  0.000
Mg  0.500  0.500  0.500
Pt  0.750  0.750  0.750



No. 3
Material: MgPt2Cl
Method: DFT, GGA-PBE
State: optimized geometry

Computed properties:
**N(E_F)**: 16.7 states/eV/f.u.
**Energy**: -3.757 eV/atom
**Volume**: 16.80 Å³ per atom

abc: 4.564 4.564 4.564
angles: 60.00 60.00 60.00
Fractional positions:
Mg  0.000  0.000  0.000
Pt  0.250  0.250  0.250
Pt  0.750  0.750  0.750
Cl  0.500  0.500  0.500



No. 4
Material: MgPt2Cl
Method: DFT, GGA-PBE
State: optimized geometry

Computed properties:
**N(E_F)**: 2.4 states/eV/f.u.
**Energy**: -4.118 eV/atom
**Volume**: 18.64 Å³ per atom

abc: 3.717 3.717 11.110
angles: 80.37 80.37 90.00
Fractional positions:
Pt  0.875  0.868  0.750
Pt  0.618  0.125  0.250
Pt  0.132  0.625  0.250
Pt  0.375  0.382  0.750
Cl  0.750  0.250  0.500
Cl  0.000  0.000  0.000
Mg  0.250  0.750  0.500
Mg  0.500  0.500  0.000



No. 5
Material: MgPt2Cl
Method: DFT, GGA-PBE
State: optimized geometry

Computed properties:
**N(E_F)**: 5.0 states/eV/f.u.
**Energy**: -4.243 eV/atom
**Volume**: 19.03 Å³ per atom

abc: 2.940 2.940 8.807
angles: 90.00 90.00 90.01
Fractional positions:
Cl  0.000  0.000  0.586
Pt  0.000  0.000  0.974
Pt  0.500  0.500  0.185
Mg  0.500  0.500  0.755



No. 6
Material: MgPtCl
Method: DFT, GGA-PBE
State: optimized geometry

Computed properties:
**N(E_F)**: 0.7 states/eV/f.u.
**Energy**: -4.151 eV/atom
**Volume**: 24.29 Å³ per atom

abc: 10.714 5.286 5.299
angles: 90.00 103.78 90.00
Fractional positions:
Pt  0.000  0.933  0.000
Pt  0.000  0.433  0.000
Pt  0.000  0.433  0.500
Pt  0.000  0.933  0.500
Cl  0.658  0.434  0.336
Cl  0.342  0.934  0.164
Cl  0.658  0.934  0.836
Cl  0.342  0.434  0.664
Mg  0.802  0.684  0.656
Mg  0.802  0.184  0.156
Mg  0.198  0.184  0.844
Mg  0.198  0.684  0.344



No. 7
Material: MgPt2Cl
Method: DFT, GGA-PBE
State: optimized geometry

Computed properties:
**N(E_F)**: 3.4 states/eV/f.u.
**Energy**: -4.099 eV/atom
**Volume**: 17.26 Å³ per atom

abc: 2.941 4.537 5.173
angles: 90.00 90.00 90.00
Fractional positions:
Pt  0.000  0.000  0.000
Pt  0.500  0.500  0.000
Cl  0.500  0.000  0.500
Mg  0.000  0.500  0.500



No. 8
Material: MgPtCl
Method: DFT, GGA-PBE
State: optimized geometry

Computed properties:
**N(E_F)**: 0.8 states/eV/f.u.
**Energy**: -4.152 eV/atom
**Volume**: 24.59 Å³ per atom

abc: 3.902 3.603 21.332
angles: 90.00 100.27 90.00
Fractional positions:
Pt  0.000  0.500  0.000
Pt  0.000  0.000  0.500
Pt  0.500  0.500  0.500
Pt  0.500  0.000  0.000
Cl  0.833  0.500  0.828
Cl  0.833  0.000  0.328
Cl  0.167  0.000  0.672
Cl  0.167  0.500  0.172
Mg  0.097  0.000  0.099
Mg  0.903  0.000  0.901
Mg  0.903  0.500  0.401
Mg  0.097  0.500  0.599



No. 9
Material: MgPt2Cl
Method: DFT, GGA-PBE
State: optimized geometry

Computed properties:
**N(E_F)**: 2.4 states/eV/f.u.
**Energy**: -4.341 eV/atom
**Volume**: 23.43 Å³ per atom

abc: 3.491 3.724 7.228
angles: 94.10 90.00 90.00
Fractional positions:
Cl  0.000  0.433  0.573
Mg  0.500  0.683  0.774
Pt  0.000  0.939  0.046
Pt  0.500  0.445  0.107



No. 10
Material: MgPtCl
Method: DFT, GGA-PBE
State: optimized geometry

Computed properties:
**N(E_F)**: 0.7 states/eV/f.u.
**Energy**: -3.445 eV/atom
**Volume**: 17.72 Å³ per atom

abc: 4.454 4.454 3.094
angles: 90.00 90.00 120.00
Fractional positions:
Mg  0.333  0.667  0.322
Pt  0.667  0.333  0.804
Cl  0.000  0.000  0.874



No. 11
Material: Mg3PtCl
Method: DFT, GGA-PBE
State: optimized geometry

Computed properties:
**N(E_F)**: 1.5 states/eV/f.u.
**Energy**: -2.559 eV/atom
**Volume**: 20.53 Å³ per atom

abc: 4.682 4.682 4.682
angles: 90.00 90.00 90.00
Fractional positions:
Mg  0.500  0.000  0.000
Mg  0.000  0.500  0.000
Mg  0.000  0.000  0.500
Cl  0.000  0.000  0.000
Pt  0.500  0.500  0.500



No. 12
Material: Rb2MgPtCl6
Method: DFT, GGA-PBE
State: optimized geometry

Computed properties:
**N(E_F)**: 3.1 states/eV/f.u.
**Energy**: -3.384 eV/atom
**Volume**: 26.31 Å³ per atom

abc: 7.240 7.240 7.170
angles: 59.68 59.68 90.00
Fractional positions:
Pt  0.000  0.000  0.000
Cl  0.760  0.760  0.479
Cl  0.745  0.255  0.000
Cl  0.255  0.255  0.000
Cl  0.745  0.745  0.000
Cl  0.255  0.745  0.000
Cl  0.240  0.240  0.521
Rb  0.750  0.250  0.500
Rb  0.250  0.750  0.500
Mg  0.500  0.500  0.000



No. 13
Material: Rb2MgPtCl6
Method: DFT, GGA-PBE
State: optimized geometry

Computed properties:
**N(E_F)**: 1.9 states/eV/f.u.
**Energy**: -3.413 eV/atom
**Volume**: 27.30 Å³ per atom

abc: 7.213 7.213 12.815
angles: 73.66 73.66 60.00
Fractional positions:
Cl  0.792  0.792  0.123
Cl  0.384  0.384  0.369
Cl  0.792  0.292  0.123
Cl  0.616  0.616  0.631
Cl  0.208  0.208  0.877
Cl  0.708  0.208  0.877
Cl  0.616  0.137  0.631
Cl  0.384  0.863  0.369
Cl  0.137  0.616  0.631
Cl  0.863  0.384  0.369
Cl  0.208  0.708  0.877
Cl  0.292  0.792  0.123
Rb  0.295  0.295  0.116
Rb  0.705  0.705  0.884
Rb  0.123  0.123  0.631
Rb  0.877  0.877  0.369
Pt  0.500  0.500  0.500
Pt  0.000  0.000  0.000
Mg  0.414  0.414  0.757
Mg  0.586  0.586  0.243



No. 14
Material: RbMgPtCl2
Method: DFT, GGA-PBE
State: optimized geometry

Computed properties:
**N(E_F)**: 1.4 states/eV/f.u.
**Energy**: -3.040 eV/atom
**Volume**: 28.67 Å³ per atom

abc: 5.387 4.940 5.387
angles: 90.00 90.00 90.00
Fractional positions:
Cl  0.500  0.000  0.000
Cl  0.000  0.000  0.500
Mg  0.000  0.500  0.000
Pt  0.000  0.000  0.000
Rb  0.500  0.500  0.500



No. 15
Material: MgPtS2Cl
Method: DFT, GGA-PBE
State: optimized geometry

Computed properties:
**N(E_F)**: 5.0 states/eV/f.u.
**Energy**: -3.591 eV/atom
**Volume**: 21.86 Å³ per atom

abc: 4.770 4.770 4.805
angles: 90.00 90.00 90.00
Fractional positions:
S  0.500  0.000  0.000
S  0.000  0.500  0.000
Cl  0.000  0.000  0.500
Mg  0.500  0.500  0.500
Pt  0.000  0.000  0.000



No. 16
Material: MgPtS2Cl
Method: DFT, GGA-PBE
State: optimized geometry

Computed properties:
**N(E_F)**: 6.7 states/eV/f.u.
**Energy**: -3.128 eV/atom
**Volume**: 21.12 Å³ per atom

abc: 4.848 4.848 4.494
angles: 90.00 90.00 90.00
Fractional positions:
Cl  0.000  0.000  0.500
Mg  0.000  0.000  0.000
S  0.500  0.000  0.000
S  0.000  0.500  0.000
Pt  0.500  0.500  0.500



No. 17
Material: MgPtSeCl2
Method: DFT, GGA-PBE
State: optimized geometry

Computed properties:
**N(E_F)**: 1.2 states/eV/f.u.
**Energy**: -3.045 eV/atom
**Volume**: 24.83 Å³ per atom

abc: 4.672 5.688 4.672
angles: 90.00 90.00 90.00
Fractional positions:
Cl  0.500  0.000  0.000
Cl  0.000  0.000  0.500
Se  0.500  0.500  0.500
Mg  0.000  0.500  0.000
Pt  0.000  0.000  0.000



No. 18
Material: MgSiPt2Cl
Method: DFT, GGA-PBE
State: optimized geometry

Computed properties:
**N(E_F)**: 1.9 states/eV/f.u.
**Energy**: -3.434 eV/atom
**Volume**: 20.10 Å³ per atom

abc: 4.676 4.595 4.676
angles: 90.00 90.00 90.00
Fractional positions:
Mg  0.500  0.500  0.500
Cl  0.000  0.000  0.000
Pt  0.000  0.000  0.500
Pt  0.500  0.000  0.000
Si  0.000  0.500  0.000



No. 19
Material: MgSiPtCl2
Method: DFT, GGA-PBE
State: optimized geometry

Computed properties:
**N(E_F)**: 5.2 states/eV/f.u.
**Energy**: -2.947 eV/atom
**Volume**: 24.85 Å³ per atom

abc: 4.520 6.082 4.520
angles: 90.00 90.00 90.00
Fractional positions:
Cl  0.500  0.000  0.000
Cl  0.000  0.000  0.500
Pt  0.500  0.500  0.500
Si  0.000  0.000  0.000
Mg  0.000  0.500  0.000



No. 20
Material: PuMgCl4
Method: DFT, GGA-PBE
State: optimized geometry

Computed properties:
**N(E_F)**: 10.7 states/eV/f.u.
**Energy**: -5.641 eV/atom
**Volume**: 29.13 Å³ per atom

abc: 3.718 7.905 7.139
angles: 120.04 90.00 103.60
Fractional positions:
Cl  0.895  0.790  0.532
Cl  0.614  0.229  0.911
Cl  0.386  0.771  0.089
Cl  0.105  0.210  0.468
Pu  0.000  0.000  0.000
Mg  0.500  0.000  0.500